Run w
MnZnFe: optimized geometry, PBE.

Properties
As for the crystal system: cubic.

Cell lengths 3.857, 3.857, 3.857 Å; angles 60.00, 60.00, 60.00 degrees
Fractional coordinates of all 3 atoms:
Zn 0.500 0.500 0.500
Fe 0.750 0.750 0.750
Mn 0.000 0.000 0.000



Run x
MnZnFe: optimized geometry, PBE.

Properties
As for the crystal system: orthorhombic.

Cell lengths 4.670, 4.670, 4.670 Å; angles 146.56, 135.68, 56.64 degrees
Fractional coordinates of all 3 atoms:
Fe 0.999 0.999 0.000
Mn 0.337 0.337 0.000
Zn 0.665 0.665 0.000



Which structure loses on stability? run w does.



Run w
MnZnFe: optimized geometry, PBE.

Properties
As for the crystal system: orthorhombic.

Cell lengths 6.476, 6.327, 2.487 Å; angles 82.17, 75.47, 22.36 degrees
Fractional coordinates of all 3 atoms:
Fe 0.995 0.995 0.005
Zn 0.666 0.666 0.334
Mn 0.338 0.338 0.662



Run x
MnZnFe: optimized geometry, PBE.

Properties
As for the crystal system: tetragonal.

Cell lengths 5.735, 5.735, 5.735 Å; angles 153.91, 153.91, 37.23 degrees
Fractional coordinates of all 3 atoms:
Mn 0.343 0.343 0.000
Zn 0.665 0.665 0.000
Fe 0.992 0.992 0.000



Run y
MnZnFe: optimized geometry, PBE.

Properties
As for the crystal system: monoclinic.

Cell lengths 2.978, 2.493, 12.850 Å; angles 104.21, 89.98, 126.69 degrees
Fractional coordinates of all 6 atoms:
Fe 0.289 0.651 0.374
Fe 0.252 0.577 0.845
Zn 0.915 0.904 0.014
Zn 0.625 0.324 0.204
Mn 0.594 0.262 0.685
Mn 0.946 0.965 0.533



Which structure loses on stability? run w does.



Run w
MnZnFe: optimized geometry, PBE.

Properties
As for the crystal system: trigonal.

Cell lengths 2.564, 2.564, 6.301 Å; angles 90.00, 90.00, 120.00 degrees
Fractional coordinates of all 3 atoms:
Zn 0.333 0.667 0.668
Fe 0.000 0.000 0.016
Mn 0.667 0.333 0.316



Run x
MnZnFe: optimized geometry, PBE.

Properties
As for the crystal system: monoclinic.

Cell lengths 2.507, 7.505, 6.457 Å; angles 40.73, 90.00, 99.61 degrees
Fractional coordinates of all 6 atoms:
Zn 0.692 0.383 0.271
Zn 0.308 0.617 0.729
Mn 0.132 0.264 0.730
Mn 0.868 0.736 0.270
Fe 0.042 0.083 0.244
Fe 0.958 0.917 0.756



Which structure loses on stability? run x does.



Run w
MnZn2Fe2: optimized geometry, PBE.

Properties
As for the crystal system: tetragonal.

Cell lengths 5.679, 5.679, 3.954 Å; angles 90.00, 90.00, 90.00 degrees
Fractional coordinates of all 10 atoms:
Fe 0.133 0.367 0.000
Fe 0.633 0.133 0.000
Fe 0.867 0.633 0.000
Fe 0.367 0.867 0.000
Zn 0.826 0.326 0.500
Zn 0.174 0.674 0.500
Zn 0.326 0.174 0.500
Zn 0.674 0.826 0.500
Mn 0.500 0.500 0.000
Mn 0.000 0.000 0.000



Run x
MnZn2Fe2: optimized geometry, PBE.

Properties
As for the crystal system: tetragonal.

Cell lengths 6.822, 6.822, 2.770 Å; angles 90.00, 90.00, 90.00 degrees
Fractional coordinates of all 10 atoms:
Fe 0.170 0.670 0.500
Fe 0.330 0.170 0.500
Fe 0.830 0.330 0.500
Fe 0.670 0.830 0.500
Zn 0.130 0.370 0.000
Zn 0.870 0.630 0.000
Zn 0.630 0.130 0.000
Zn 0.370 0.870 0.000
Mn 0.000 0.000 0.000
Mn 0.500 0.500 0.000



Which structure loses on stability? run x does.



Run w
Fe3Mo2: optimized geometry, PBE.

Properties
As for the crystal system: trigonal.

Cell lengths 4.023, 4.023, 5.015 Å; angles 90.00, 90.00, 120.00 degrees
Fractional coordinates of all 5 atoms:
Mo 0.333 0.667 0.810
Mo 0.667 0.333 0.190
Fe 0.667 0.333 0.660
Fe 0.000 0.000 0.000
Fe 0.333 0.667 0.340



Run x
Fe3Mo2: optimized geometry, PBE.

Properties
As for the crystal system: trigonal.

Cell lengths 10.688, 10.688, 10.688 Å; angles 14.55, 14.55, 14.55 degrees
Fractional coordinates of all 5 atoms:
Fe 0.196 0.196 0.196
Fe 0.000 0.000 0.000
Fe 0.804 0.804 0.804
Mo 0.599 0.599 0.599
Mo 0.401 0.401 0.401



Which structure loses on stability? run w does.



Run w
FeMo5: optimized geometry, PBE.

Properties
As for the crystal system: orthorhombic.

Cell lengths 7.922, 7.922, 4.615 Å; angles 90.00, 90.00, 161.30 degrees
Fractional coordinates of all 6 atoms:
Mo 0.330 0.670 0.000
Mo 0.898 0.102 0.500
Mo 0.559 0.441 0.500
Mo 0.229 0.771 0.500
Mo 0.655 0.345 0.000
Fe 0.995 0.005 0.000



Run x
FeMo5: optimized geometry, PBE.

Properties
As for the crystal system: orthorhombic.

Cell lengths 6.762, 6.762, 4.393 Å; angles 90.00, 90.00, 152.86 degrees
Fractional coordinates of all 6 atoms:
Fe 0.500 0.500 0.000
Mo 0.664 0.336 0.500
Mo 0.835 0.165 0.000
Mo 0.336 0.664 0.500
Mo 0.000 0.000 0.500
Mo 0.165 0.835 0.000



Run y
FeMo5: optimized geometry, PBE.

Properties
As for the crystal system: tetragonal.

Cell lengths 2.668, 2.668, 12.821 Å; angles 90.00, 90.00, 90.00 degrees
Fractional coordinates of all 6 atoms:
Mo 0.000 0.000 0.138
Mo 0.500 0.500 0.682
Mo 0.500 0.500 0.318
Mo 0.000 0.000 0.500
Mo 0.000 0.000 0.862
Fe 0.500 0.500 0.000



Run z
FeMo5: optimized geometry, PBE.

Properties
As for the crystal system: hexagonal.

Cell lengths 4.850, 4.850, 4.519 Å; angles 90.00, 90.00, 120.00 degrees
Fractional coordinates of all 6 atoms:
Mo 0.325 0.325 0.000
Mo 0.333 0.667 0.500
Mo 0.000 0.675 0.000
Mo 0.667 0.333 0.500
Mo 0.675 0.000 0.000
Fe 0.000 0.000 0.500



Which structure loses on stability? run z does.



Run w
FeMo5: optimized geometry, PBE.

Properties
As for the crystal system: monoclinic.

Cell lengths 5.487, 5.487, 6.927 Å; angles 76.49, 76.49, 27.29 degrees
Fractional coordinates of all 6 atoms:
Fe 0.005 0.005 0.990
Mo 0.672 0.672 0.663
Mo 0.338 0.338 0.315
Mo 0.599 0.599 0.278
Mo 0.943 0.943 0.628
Mo 0.276 0.276 0.958



Run x
FeMo5: optimized geometry, PBE.

Properties
As for the crystal system: hexagonal.

Cell lengths 5.184, 5.184, 4.504 Å; angles 90.00, 90.00, 120.00 degrees
Fractional coordinates of all 6 atoms:
Fe 0.000 0.000 0.000
Mo 0.500 0.500 0.500
Mo 0.500 0.000 0.500
Mo 0.667 0.333 0.000
Mo 0.333 0.667 0.000
Mo 0.000 0.500 0.500



Which structure loses on stability? run x does.



Run w
Fe3Mo4: optimized geometry, PBE.

Properties
As for the crystal system: hexagonal.

Cell lengths 4.768, 4.768, 4.847 Å; angles 90.00, 90.00, 60.00 degrees
Fractional coordinates of all 7 atoms:
Mo 0.333 0.333 0.500
Mo 0.000 0.000 0.253
Mo 0.000 0.000 0.747
Mo 0.667 0.667 0.500
Fe 0.500 0.500 0.000
Fe 0.000 0.500 0.000
Fe 0.500 0.000 0.000



Run x
Fe3Mo4: optimized geometry, PBE.

Properties
As for the crystal system: tetragonal.

Cell lengths 10.525, 10.525, 10.525 Å; angles 163.04, 163.04, 24.07 degrees
Fractional coordinates of all 7 atoms:
Fe 0.000 0.000 0.000
Fe 0.282 0.282 0.000
Fe 0.718 0.718 0.000
Mo 0.428 0.428 0.000
Mo 0.147 0.147 0.000
Mo 0.853 0.853 0.000
Mo 0.572 0.572 0.000



Which structure loses on stability? run x does.